Entry 1:
## BeCr2Ag (GGA-PBE)

Data for a geometry-optimized BeCr2Ag structure.

Output
As for the raw total energy: -23.9 eV per formula unit. As for the crystal system: trigonal. The value obtained for the formation energy from the elements is 479 meV/atom. The space-group type is R3m (160). As for the magnetic moment: 0.000 μB/atom.

Cell: 8.7826 8.7826 8.7826 Å, 17.01 17.01 17.01°
Last column: nearest neighbours and their distance in Å.
Sites, in units of the cell vectors:
Cr: 0.0049 0.0049 0.0049  3 Be 2.44, 9 Cr 2.60-2.62
Cr: 0.2554 0.2554 0.2554  9 Cr 2.60-2.62, 3 Ag 2.88
Ag: 0.4940 0.4940 0.4940  6 Ag 2.60, 3 Be 2.60, 3 Cr 2.88
Be: 0.7456 0.7456 0.7456  3 Cr 2.44, 6 Be 2.60, 3 Ag 2.60


Entry 2:
## Ce2YErS4 (GGA-PBE)

Data for a geometry-optimized Ce2YErS4 structure.

Output
As for the raw total energy: -55.6 eV per formula unit. As for the crystal system: monoclinic. The space-group type is P2/m (10). The formation energy from raw total energies comes out at -2022 meV per atom. As for the magnetic moment: 0.197 μB/atom.

Cell: 3.9304 6.8188 6.9322 Å, 109.13 90.00 90.00°
Last column: nearest neighbours and their distance in Å.
Sites, in units of the cell vectors:
Ce: 0.5000 0.0000 0.5000  6 S 2.84
Ce: 0.0000 0.5000 0.5000  6 S 2.86
Y: 0.5000 0.5000 0.0000  6 S 2.76
Er: 0.0000 0.0000 0.0000  6 S 2.74
S: 0.5000 0.2430 0.2358  2 Er 2.74, 1 Y 2.76, 3 Ce 2.84-2.86
S: 0.5000 0.7570 0.7642  2 Er 2.74, 1 Y 2.76, 3 Ce 2.84-2.86
S: 0.0000 0.2518 0.7625  1 Er 2.74, 2 Y 2.76, 3 Ce 2.84-2.86
S: 0.0000 0.7482 0.2375  1 Er 2.74, 2 Y 2.76, 3 Ce 2.84-2.86


Entry 3:
## ReBr2 (GGA-PBE)

Data for a geometry-optimized ReBr2 structure.

Output
As for the raw total energy: -14.2 eV per formula unit. As for the crystal system: orthorhombic. The space-group type is Cmcm (63). The formation energy from raw total energies comes out at 528 meV per atom. As for the magnetic moment: 0.000 μB/atom.

Cell: 8.0677 8.0677 5.0579 Å, 90.00 90.00 153.09°
Last column: nearest neighbours and their distance in Å.
Sites, in units of the cell vectors:
Re: 0.2783 0.7217 0.7500  6 Br 2.52-2.65
Re: 0.7217 0.2783 0.2500  6 Br 2.52-2.65
Br: 0.6709 0.3291 0.7500  4 Re 2.52-2.65
Br: 0.8954 0.1046 0.7500  2 Re 2.63
Br: 0.1046 0.8954 0.2500  2 Re 2.63
Br: 0.3291 0.6709 0.2500  4 Re 2.52-2.65


Entry 4:
## ZnCrCo2N (GGA-PBE)

Data for a geometry-optimized ZnCrCo2N structure.

Output
As for the raw total energy: -34.2 eV per formula unit. As for the crystal system: tetragonal. The space-group type is P4/mmm (123). The formation energy from raw total energies comes out at -160 meV per atom. As for the magnetic moment: 0.669 μB/atom.

Cell: 3.7857 3.7857 3.7873 Å, 90.00 90.00 90.00°
Last column: nearest neighbours and their distance in Å.
Sites, in units of the cell vectors:
Cr: 0.0000 0.0000 0.5000  2 N 1.89
Zn: 0.5000 0.5000 0.5000  4 Cr 2.68, 8 Co 2.68
Co: 0.0000 0.5000 0.0000  2 N 1.89
Co: 0.5000 0.0000 0.0000  2 N 1.89
N: 0.0000 0.0000 0.0000  4 Co 1.89, 2 Cr 1.89


Entry 5:
## Li5Cu2Ge4 (GGA-PBE)

Data for a geometry-optimized Li5Cu2Ge4 structure.

Output
As for the raw total energy: -38.6 eV per formula unit. As for the crystal system: monoclinic. The value obtained for the formation energy from the elements is -214 meV/atom. The space-group type is P2/m (10). As for the magnetic moment: 0.000 μB/atom.

Cell: 2.8007 7.2585 8.5621 Å, 92.97 90.00 90.00°
Last column: nearest neighbours and their distance in Å.
Sites, in units of the cell vectors:
Li: 0.0000 0.5515 0.3429  1 Cu 2.65, 4 Li 2.80-2.94, 6 Ge 2.81-2.94
Li: 0.0000 0.1228 0.1264  1 Cu 2.59, 3 Li 2.73-2.80, 6 Ge 2.79-2.87
Li: 0.0000 0.5000 0.0000  4 Ge 2.69, 6 Li 2.80-3.00
Li: 0.0000 0.8772 0.8736  1 Cu 2.59, 3 Li 2.73-2.80, 6 Ge 2.79-2.87
Li: 0.0000 0.4485 0.6571  1 Cu 2.65, 4 Li 2.80-2.94, 6 Ge 2.81-2.94
Cu: 0.0000 0.0823 0.6348  3 Cu 2.54-2.80, 6 Ge 2.56-2.67, 2 Li 2.59-2.65
Cu: 0.0000 0.9177 0.3652  3 Cu 2.54-2.80, 6 Ge 2.56-2.67, 2 Li 2.59-2.65
Ge: 0.5000 0.7702 0.5904  4 Cu 2.65-2.67, 2 Ge 2.80, 6 Li 2.81-2.94
Ge: 0.5000 0.2210 0.8615  2 Cu 2.56, 6 Li 2.69-2.84, 2 Ge 2.80
Ge: 0.5000 0.2298 0.4096  4 Cu 2.65-2.67, 2 Ge 2.80, 6 Li 2.81-2.94
Ge: 0.5000 0.7790 0.1385  2 Cu 2.56, 6 Li 2.69-2.84, 2 Ge 2.80


Entry 6:
## LiMnS2Br (GGA-PBE)

Data for a geometry-optimized LiMnS2Br structure.

Output
As for the raw total energy: -18.1 eV per formula unit. As for the crystal system: tetragonal. The space-group type is P4/mmm (123). The formation energy from raw total energies comes out at 579 meV per atom. As for the magnetic moment: 0.946 μB/atom.

Cell: 5.4081 4.5762 5.4081 Å, 90.00 90.00 90.00°
Last column: nearest neighbours and their distance in Å.
Sites, in units of the cell vectors:
S: 0.0000 0.0000 0.5000  2 Br 2.70
S: 0.5000 0.0000 0.0000  2 Br 2.70
Mn: 0.0000 0.5000 0.0000  2 Br 2.29
Br: 0.0000 0.0000 0.0000  2 Mn 2.29
Li: 0.5000 0.5000 0.5000  8 S 3.54, 4 Mn 3.82